# TaHgPb2

Crystalline TaHgPb2 at its relaxed geometry (PBE, the Alexandria database).

Summary:
**Energy of formation**: 0.546 eV per atom
**V**: 96.5 Å³/cell
**M_tot**: 0.0 μB/cell

Lattice parameters (Å, degrees): 5.5439 5.5439 3.1757 90.00 90.00 98.56
Fractional coordinates of all 4 atoms:
Hg1 0.0000 0.5000 0.5000
Ta1 0.5000 0.0000 0.5000
Pb1 0.5000 0.5000 0.0000
Pb2 0.0000 0.0000 0.0000